# 1
DFT (PBE-GGA) results for KAc2Ag after structural relaxation.

Computed properties:
The density of states at the Fermi level comes out at 0.91 states/eV per atom. The electronic total energy comes out at -2.91 eV per atom. The density comes out at 5.63 g/cm3. The energy relative to the elements is 133 meV/atom.

Unit cell a=4.0080 b=4.0080 c=38.2386 alpha=90.00 beta=90.00 gamma=120.00
Space group R-3m (No. 166, hexagonal axes)
One atom of each set of equivalent atoms:
K1 0.0000 0.0000 0.0000 x3
Ac1 0.0000 0.0000 0.1062 x6
Ag1 0.0000 0.0000 0.5000 x3

# 2
DFT (PBE-GGA) results for KAcAg2 after structural relaxation.

Computed properties:
The density of states at the Fermi level comes out at 0.60 states/eV per atom. The electronic total energy comes out at -2.70 eV per atom. The density comes out at 5.34 g/cm3. The energy relative to the elements is 31 meV/atom.

Unit cell a=4.4499 b=4.4499 c=26.1976 alpha=90.00 beta=90.00 gamma=120.00
Space group R-3m (No. 166, hexagonal axes)
One atom of each set of equivalent atoms:
K1 0.0000 0.0000 0.0000 x3
Ac1 0.0000 0.0000 0.5000 x3
Ag1 0.0000 0.0000 0.2416 x6

# 3
DFT (PBE-GGA) results for K2AcAg after structural relaxation.

Computed properties:
The density of states at the Fermi level comes out at 0.87 states/eV per atom. The electronic total energy comes out at -1.98 eV per atom. The density comes out at 3.79 g/cm3. The energy relative to the elements is 306 meV/atom.

Unit cell a=4.0254 b=4.0254 c=38.6418 alpha=90.00 beta=90.00 gamma=120.00
Space group R-3m (No. 166, hexagonal axes)
One atom of each set of equivalent atoms:
K1 0.0000 0.0000 0.1039 x6
Ac1 0.0000 0.0000 0.0000 x3
Ag1 0.0000 0.0000 0.5000 x3

# 4
DFT (PBE-GGA) results for KAcAg10 after structural relaxation.

Computed properties:
The density of states at the Fermi level comes out at 0.47 states/eV per atom. The electronic total energy comes out at -2.89 eV per atom. The density comes out at 8.22 g/cm3. The energy relative to the elements is -79 meV/atom.

Unit cell a=4.6770 b=5.7743 c=10.0550 alpha=90.00 beta=90.00 gamma=90.00
Space group Pmmm (No. 47)
One atom of each set of equivalent atoms:
K1 0.0000 0.0000 0.0000 x1
Ac1 0.0000 0.5000 0.5000 x1
Ag1 0.0000 0.0000 0.3330 x2
Ag2 0.0000 0.5000 0.1677 x2
Ag3 0.5000 0.0000 0.5000 x1
Ag4 0.5000 0.2553 0.2559 x4
Ag5 0.5000 0.5000 0.0000 x1

# 5
DFT (PBE-GGA) results for KAc4Ag5 after structural relaxation.

Computed properties:
The density of states at the Fermi level comes out at 0.61 states/eV per atom. The electronic total energy comes out at -3.36 eV per atom. The density comes out at 7.71 g/cm3. The energy relative to the elements is -184 meV/atom.

Unit cell a=3.9537 b=3.9537 c=20.4842 alpha=90.00 beta=90.00 gamma=90.00
Space group P4/mmm (No. 123)
One atom of each set of equivalent atoms:
K1 0.0000 0.0000 0.0000 x1
Ac1 0.0000 0.0000 0.2064 x2
Ac2 0.0000 0.0000 0.4032 x2
Ag1 0.5000 0.5000 0.1201 x2
Ag2 0.5000 0.5000 0.3046 x2
Ag3 0.5000 0.5000 0.5000 x1

# 6
DFT (PBE-GGA) results for KAcAg2 after structural relaxation.

Computed properties:
The density of states at the Fermi level comes out at 0.38 states/eV per atom. The electronic total energy comes out at -2.83 eV per atom. The density comes out at 5.80 g/cm3. The energy relative to the elements is -101 meV/atom.

Unit cell a=4.0745 b=4.0745 c=8.3052 alpha=90.00 beta=90.00 gamma=90.00
Space group P4/mmm (No. 123)
One atom of each set of equivalent atoms:
K1 0.0000 0.0000 0.0000 x1
Ac1 0.0000 0.0000 0.5000 x1
Ag1 0.5000 0.5000 0.3060 x2

# 7
DFT (PBE-GGA) results for KAcAg2 after structural relaxation.

Computed properties:
The density of states at the Fermi level comes out at 0.81 states/eV per atom. The electronic total energy comes out at -2.76 eV per atom. The density comes out at 6.39 g/cm3. The energy relative to the elements is -34 meV/atom.

Unit cell a=5.7538 b=5.7538 c=3.7822 alpha=90.00 beta=90.00 gamma=90.00
Space group P4/mmm (No. 123)
One atom of each set of equivalent atoms:
K1 0.0000 0.0000 0.0000 x1
Ac1 0.5000 0.5000 0.0000 x1
Ag1 0.0000 0.5000 0.5000 x2

# 8
DFT (PBE-GGA) results for KAcAg after structural relaxation.

Computed properties:
For the energy above the lowest structure with this stoichiometry, the calculation gives 0.0 meV/atom. The density of states at the Fermi level comes out at 0.94 states/eV per atom. The electronic total energy comes out at -2.74 eV per atom. The density comes out at 4.97 g/cm3. The energy relative to the elements is -59 meV/atom.

Unit cell a=5.7939 b=5.7908 c=14.8909 alpha=90.00 beta=90.25 gamma=90.00
Space group C2/m (No. 12)
One atom of each set of equivalent atoms:
K1 0.2446 0.0000 0.1379 x4
Ac1 0.2486 0.0000 0.4085 x4
Ag1 0.2469 0.5000 0.2994 x4

# 9
DFT (PBE-GGA) results for KAcAg after structural relaxation.

Computed properties:
For the energy above the lowest structure with this stoichiometry, the calculation gives 120.2 meV/atom. The density of states at the Fermi level comes out at 1.07 states/eV per atom. The electronic total energy comes out at -2.62 eV per atom. The density comes out at 5.05 g/cm3. The energy relative to the elements is 61 meV/atom.

Unit cell a=3.9652 b=3.9652 c=15.6347 alpha=90.00 beta=90.00 gamma=90.00
Space group I4mm (No. 107)
One atom of each set of equivalent atoms:
K1 0.0000 0.0000 0.0000 x2
Ac1 0.0000 0.0000 0.2605 x2
Ag1 0.0000 0.0000 0.6534 x2

# 10
DFT (PBE-GGA) results for K3Ac3AgO8 after structural relaxation.

Computed properties:
The uncorrected formation energy comes out at -1.974 eV per atom. The density of states at the Fermi level comes out at 0.09 states/eV per atom. The electronic total energy comes out at -5.85 eV per atom. The density comes out at 5.61 g/cm3.

Unit cell a=12.8925 b=7.5252 c=7.6753 alpha=90.00 beta=124.72 gamma=90.00
Space group C2/m (No. 12)
One atom of each set of equivalent atoms:
K1 0.0000 0.0000 0.0000 x2
K2 0.2500 0.2500 0.0000 x4
Ac1 0.0000 0.5000 0.5000 x2
Ac2 0.2500 0.2500 0.5000 x4
Ag1 0.0000 0.0000 0.5000 x2
O1 0.0141 0.2341 0.3099 x8
O2 0.1997 0.0000 0.6727 x4
O3 0.2338 0.5000 0.6948 x4

# 11
DFT (PBE-GGA) results for K3Ac2AgO6 after structural relaxation.

Computed properties:
The uncorrected formation energy comes out at -1.826 eV per atom. The density of states at the Fermi level comes out at 0.38 states/eV per atom. The electronic total energy comes out at -5.50 eV per atom. The density comes out at 5.67 g/cm3.

Unit cell a=6.3901 b=11.2126 c=6.6362 alpha=90.00 beta=107.20 gamma=90.00
Space group C2/m (No. 12)
One atom of each set of equivalent atoms:
K1 0.0000 0.0000 0.0000 x2
K2 0.0000 0.3431 0.0000 x4
Ac1 0.0000 0.1712 0.5000 x4
Ag1 0.0000 0.5000 0.5000 x2
O1 0.2314 0.5000 0.3307 x4
O2 0.2461 0.3275 0.7177 x8

# 12
DFT (PBE-GGA) results for KAc2AgO4 after structural relaxation.

Computed properties:
The uncorrected formation energy comes out at -2.281 eV per atom. The density of states at the Fermi level comes out at 0.00 states/eV per atom. The electronic total energy comes out at -6.28 eV per atom. The density comes out at 6.69 g/cm3.

Unit cell a=3.9372 b=13.2361 c=12.6672 alpha=90.00 beta=90.00 gamma=90.00
Space group Cmcm (No. 63)
One atom of each set of equivalent atoms:
K1 0.0000 0.0544 0.2500 x4
Ac1 0.0000 0.3710 0.0631 x8
Ag1 0.0000 0.2419 0.7500 x4
O1 0.0000 0.0000 0.0000 x4
O2 0.0000 0.2451 0.5866 x8
O3 0.0000 0.4188 0.2500 x4

# 13
DFT (PBE-GGA) results for KAcAgO2 after structural relaxation.

Computed properties:
The uncorrected formation energy comes out at -1.580 eV per atom. The density of states at the Fermi level comes out at 0.31 states/eV per atom. The electronic total energy comes out at -5.17 eV per atom. The density comes out at 4.15 g/cm3.

Unit cell a=7.6784 b=6.3045 c=7.5793 alpha=90.00 beta=117.61 gamma=90.00
Space group P2/c (No. 13)
One atom of each set of equivalent atoms:
K1 0.0000 0.1827 0.2500 x2
Ac1 0.5000 0.4969 0.7500 x2
Ag1 0.5000 0.0000 0.0000 x2
O1 0.3687 0.3047 0.4361 x4

# 14
DFT (PBE-GGA) results for KAcAgO3 after structural relaxation.

Computed properties:
The uncorrected formation energy comes out at -1.631 eV per atom. The density of states at the Fermi level comes out at 0.81 states/eV per atom. The electronic total energy comes out at -5.45 eV per atom. The density comes out at 5.39 g/cm3.

Unit cell a=4.0471 b=13.0609 c=9.8418 alpha=90.00 beta=90.00 gamma=90.00
Space group Cmcm (No. 63)
One atom of each set of equivalent atoms:
K1 0.0000 0.1857 0.2500 x4
Ac1 0.0000 0.5000 0.0000 x4
Ag1 0.0000 0.0950 0.7500 x4
O1 0.0000 0.1129 0.5416 x8
O2 0.0000 0.4668 0.7500 x4

# 15
DFT (PBE-GGA) results for K2AcAgO4 after structural relaxation.

Computed properties:
The uncorrected formation energy comes out at -1.272 eV per atom. The density of states at the Fermi level comes out at 0.34 states/eV per atom. The electronic total energy comes out at -4.90 eV per atom. The density comes out at 5.45 g/cm3.

Unit cell a=6.7054 b=6.7054 c=6.4671 alpha=90.00 beta=90.00 gamma=90.00
Space group I-42m (No. 121)
One atom of each set of equivalent atoms:
K1 0.0000 0.5000 0.0000 x4
Ac1 0.0000 0.0000 0.0000 x2
Ag1 0.0000 0.0000 0.5000 x2
O1 0.1727 0.1727 0.2750 x8

# 16
DFT (PBE-GGA) results for KAcAg2O4 after structural relaxation.

Computed properties:
The uncorrected formation energy comes out at -1.327 eV per atom. The density of states at the Fermi level comes out at 0.36 states/eV per atom. The electronic total energy comes out at -5.17 eV per atom. The density comes out at 6.98 g/cm3.

Unit cell a=6.0564 b=6.0564 c=7.0768 alpha=90.00 beta=90.00 gamma=90.00
Space group I-42m (No. 121)
One atom of each set of equivalent atoms:
K1 0.0000 0.0000 0.0000 x2
Ac1 0.0000 0.0000 0.5000 x2
Ag1 0.0000 0.5000 0.2500 x4
O1 0.2310 0.2310 0.2750 x8

# 17
DFT (PBE-GGA) results for KAcAgPb after structural relaxation.

Computed properties:
The density of states at the Fermi level comes out at 0.76 states/eV per atom. The electronic total energy comes out at -3.10 eV per atom. The density comes out at 7.21 g/cm3. The energy relative to the elements is -156 meV/atom.

Unit cell a=8.1196 b=8.1196 c=8.1196 alpha=90.00 beta=90.00 gamma=90.00
Space group F-43m (No. 216)
One atom of each set of equivalent atoms:
K1 0.0000 0.0000 0.0000 x4
Ac1 0.0000 0.0000 0.5000 x4
Ag1 0.2500 0.2500 0.7500 x4
Pb1 0.2500 0.2500 0.2500 x4

# 18
DFT (PBE-GGA) results for KAc2AgSe4 after structural relaxation.

Computed properties:
The uncorrected formation energy comes out at -1.570 eV per atom. The density of states at the Fermi level comes out at 0.00 states/eV per atom. The electronic total energy comes out at -4.83 eV per atom. The density comes out at 5.82 g/cm3.

Unit cell a=4.4962 b=15.0037 c=15.5167 alpha=90.00 beta=90.00 gamma=90.00
Space group Cmcm (No. 63)
One atom of each set of equivalent atoms:
K1 0.0000 0.1149 0.2500 x4
Ac1 0.0000 0.3669 0.0654 x8
Ag1 0.0000 0.1564 0.7500 x4
Se1 0.0000 0.0000 0.0000 x4
Se2 0.0000 0.2666 0.6118 x8
Se3 0.0000 0.4444 0.2500 x4

# 19
DFT (PBE-GGA) results for AcLaAg4 after structural relaxation.

Computed properties:
For the energy above the lowest structure with this stoichiometry, the calculation gives 142.9 meV/atom. The density of states at the Fermi level comes out at 1.02 states/eV per atom. The electronic total energy comes out at -3.56 eV per atom. The density comes out at 9.01 g/cm3. The energy relative to the elements is -153 meV/atom.

Unit cell a=8.3782 b=8.3782 c=8.3782 alpha=90.00 beta=90.00 gamma=90.00
Space group F-43m (No. 216)
One atom of each set of equivalent atoms:
Ac1 0.0000 0.0000 0.0000 x4
La1 0.2500 0.2500 0.7500 x4
Ag1 0.1246 0.1246 0.3754 x16

# 20
DFT (PBE-GGA) results for Ac2LaAg6 after structural relaxation.

Computed properties:
For the energy above the lowest structure with this stoichiometry, the calculation gives 0.0 meV/atom. The density of states at the Fermi level comes out at 0.69 states/eV per atom. The electronic total energy comes out at -3.65 eV per atom. The density comes out at 8.53 g/cm3. The energy relative to the elements is -292 meV/atom.

Unit cell a=8.3724 b=8.3724 c=3.9789 alpha=90.00 beta=90.00 gamma=120.00
Space group P6/mmm (No. 191)
One atom of each set of equivalent atoms:
Ac1 0.3333 0.6667 0.0000 x2
La1 0.0000 0.0000 0.0000 x1
Ag1 0.0000 0.3316 0.5000 x6